# 1
Ca2TeIr (PBE-GGA, relaxed); SG = P4mm
1.0
-2.7982 1.6890 -2.8106
-3.2650 -1.7765 2.1830
-0.4356 5.0990 3.4978
Te Ca Ir
1 2 1
Cartesian
-3.3974 4.2385 2.6238
-3.1812 1.7073 0.8874
-0.4009 4.6931 3.2194
-0.1727 2.0211 1.3865


# 2
CaTeIr2 (PBE-GGA, relaxed); SG = Pm
1.0
-3.1134 -0.8083 -2.2688
1.0994 -3.6637 -0.2033
-2.8189 -2.6298 4.8051
Te Ca Ir
1 1 2
Cartesian
-0.8014 -2.8246 2.1060
-2.8013 -5.4265 2.3628
0.7602 -3.7260 0.2843
-1.7508 -1.9353 -0.3226


# 3
CaTeIr2 (PBE-GGA, relaxed); SG = P4/mmm
1.0
3.9099 0.0000 0.0000
0.0000 4.3485 0.0000
0.0000 0.0000 4.3485
Ir Ca Te
2 1 1
Cartesian
0.0000 0.0000 0.0000
0.0000 2.1743 2.1743
1.9550 0.0000 2.1743
1.9550 2.1743 0.0000


# 4
CaTe4Ir (PBE-GGA, relaxed); SG = F-43m
1.0
-4.1352 -2.5971 3.8775
-5.3767 2.9091 1.2279
-5.3584 -2.2806 -2.2285
Te Ir Ca
4 1 1
Cartesian
-7.6462 -2.0481 3.0346
-8.2644 -1.8881 -0.0513
-5.5564 -0.7356 1.0750
-8.2737 0.7346 1.6955
0.0000 0.0000 0.0000
-11.1528 -1.4765 2.1577


# 5
CaTeIr2 (PBE-GGA, relaxed); SG = Pmmm
1.0
-3.6891 -0.0262 -2.5080
-0.9537 -2.6880 1.4308
-2.6892 3.0444 3.9239
Ca Te Ir
1 1 2
Cartesian
-4.5767 0.2543 2.7620
-2.7553 0.0760 0.0847
-2.8808 2.3171 4.2133
-1.6298 0.9056 2.3880


# 6
CaTeIr (PBE-GGA, relaxed); offset from the most stable computed form = 0.4952 eV/atom; SG = Imm2
1.0
5.2666 -0.0061 0.0045
2.2556 4.7591 -0.0045
-3.5327 -2.7379 2.7858
Te Ca Ir
1 1 1
Cartesian
4.9094 3.1021 0.0000
7.4195 4.6881 0.0000
2.7155 1.7158 0.0000


# 7
CaTeIr4 (PBE-GGA, relaxed); SG = F-43m
1.0
-3.6418 1.3059 3.7070
-1.2398 5.1443 0.8422
-4.7892 1.8810 -1.4952
Ir Ca Te
4 1 1
Cartesian
-6.0220 4.0646 0.3969
-5.4479 3.7768 2.9997
-4.2461 5.6973 1.5664
-3.6257 3.1235 1.1450
0.0000 0.0000 0.0000
-7.2531 6.2484 2.2905


# 8
Ca2TeIr (PBE-GGA, relaxed); SG = P4/mmm
1.0
-3.2954 -0.3877 -1.6572
-1.4389 -1.2870 3.1622
-1.7244 6.5740 1.8910
Ca Ir Te
2 1 1
Cartesian
-0.0313 0.1195 0.0344
-0.8308 3.1675 0.9111
-2.7982 0.8062 1.2252
-3.6604 4.0932 2.1707


Q: Which E values were calculated for the entries above? A: -17.6, -23.0, -23.1, -19.8, -22.8, -14.3, -40.2, -18.4, in eV for the cell shown.
Q: Which energy relative to the elements, uncorrected values were calculated for the entries above? A: -1.6, -0.1, -0.2, 3.6, 0.0, -0.3, 0.4, -2.4, in eV per formula unit.